1.
8
Lattice="-0.525 -3.423 -3.672 5.231 2.442 -3.024 3.023 -3.254 2.602" Properties=species:S:1:pos:R:3 comment="SmAgAu2, optimized geometry, DFT GGA-PBE" sg=Pmmn magmom_total_mub_per_fu=0.00 total_energy_ev_per_cell=-32.959 pbc="T T T"
Ag 3.258 -1.465 -2.569
Ag 2.118 -2.279 1.822
Au 6.101 -2.552 -1.962
Au 1.832 0.001 -0.262
Au 4.506 1.249 -1.808
Au 3.544 -3.745 -0.484
Sm 4.667 -0.987 0.254
Sm 0.709 -2.757 -1.000

=====

2.
6
Lattice="3.794 0.000 0.000 0.000 3.794 0.000 0.000 0.000 9.349" Properties=species:S:1:pos:R:3 comment="Sm2Ag3Au, optimized geometry, DFT GGA-PBE" sg=P4mm magmom_total_mub_per_fu=0.00 total_energy_ev_per_cell=-23.778 pbc="T T T"
Sm 0.000 0.000 0.063
Sm 1.897 1.897 4.645
Ag 0.000 0.000 6.293
Ag 0.000 0.000 3.112
Ag 1.897 1.897 7.722
Au 1.897 1.897 1.539

=====

3.
12
Lattice="-6.047 -3.068 -1.592 0.991 0.110 -3.975 3.715 -7.695 0.714" Properties=species:S:1:pos:R:3 comment="AgSnAu, optimized geometry, DFT GGA-PBE" sg=Pnma total_energy_ev_per_cell=-40.808 relative_energy_ev_per_atom=0.016 pbc="T T T"
Ag 2.932 -6.020 -2.604
Ag -4.273 -4.633 -2.249
Ag -0.113 -7.509 -3.404
Ag -1.228 -3.144 -1.449
Au 1.520 -3.467 -2.885
Au -2.704 -2.514 -3.912
Au 1.364 -8.139 -0.941
Au -2.861 -7.186 -1.968
Sn -1.732 -5.174 -3.743
Sn 0.391 -5.479 -1.110
Sn -1.387 -9.592 -1.667
Sn 0.047 -1.061 -3.186

=====

4.
4
Lattice="-0.772 2.175 4.221 -3.420 3.362 0.384 -4.015 -0.925 2.484" Properties=species:S:1:pos:R:3 comment="AgSnAu2, optimized geometry, DFT GGA-PBE" sg=F-43m total_energy_ev_per_cell=-13.488 pbc="T T T"
Au -6.155 3.459 5.317
Au 0.000 0.000 0.000
Ag -2.052 1.153 1.772
Sn -4.103 2.306 3.544

=====

5.
12
Lattice="-6.249 -0.919 1.793 0.606 -4.223 -0.053 2.412 0.238 8.528" Properties=species:S:1:pos:R:3 comment="AgSnAu, optimized geometry, DFT GGA-PBE" sg=Pnma total_energy_ev_per_cell=-40.995 relative_energy_ev_per_atom=0.000 pbc="T T T"
Ag -4.215 -1.777 7.515
Ag -2.476 -3.620 2.466
Ag 0.984 -3.127 2.753
Ag -0.755 -1.285 7.802
Au -3.577 -1.646 4.369
Au -0.980 -1.239 1.609
Au -2.252 -3.666 8.658
Au 0.346 -3.258 5.899
Sn -2.528 -3.671 5.924
Sn -0.703 -1.233 4.344
Sn 1.542 -3.118 8.370
Sn -4.773 -1.787 1.898

=====

6.
8
Lattice="-4.520 0.898 1.513 -0.281 -5.425 2.382 1.838 1.837 4.401" Properties=species:S:1:pos:R:3 comment="Ag6SnAu, optimized geometry, DFT GGA-PBE" sg=Pmm2 total_energy_ev_per_cell=-24.485 pbc="T T T"
Ag 1.398 -1.176 4.873
Ag -1.950 0.758 1.498
Ag -1.111 0.287 4.284
Ag -1.249 -2.376 5.453
Ag 0.544 -0.766 2.078
Ag 0.406 -3.431 3.248
Au -2.094 -1.958 2.680
Sn 1.529 1.527 3.660

=====

7.
9
Lattice="5.666 0.000 0.000 -2.833 4.907 0.000 0.000 0.000 8.324" Properties=species:S:1:pos:R:3 comment="AgSn5Au3, optimized geometry, DFT GGA-PBE" sg=P6/mmm total_energy_ev_per_cell=-31.657 pbc="T T T"
Sn 0.000 0.000 4.162
Sn 0.000 3.271 1.557
Sn 2.833 1.636 1.557
Sn 2.833 1.636 6.767
Sn 0.000 3.271 6.767
Au 1.416 2.453 4.162
Au 2.833 0.000 4.162
Au -1.416 2.453 4.162
Ag 0.000 0.000 0.000

=====

8.
4
Lattice="0.000 3.388 3.388 3.388 0.000 3.388 3.388 3.388 0.000" Properties=species:S:1:pos:R:3 comment="Ag2SnAu, optimized geometry, DFT GGA-PBE" sg=F-43m total_energy_ev_per_cell=-13.117 pbc="T T T"
Sn 3.388 3.388 3.388
Au 1.694 1.694 1.694
Ag 5.082 5.082 5.082
Ag 0.000 0.000 0.000